(1)
This record from Alexandria via LeMat-Bulk describes a relaxed structure of Na2AgRuO. The functional is PBE.

Values from the calculation:
Magnetic moment   2.50 μB/cell
Symmetry   No. 123
DFT total energy   -18.107 eV per cell
E_form (uncorrected)   0.32 eV/atom

a = 4.350 Å, b = 4.350 Å, c = 4.722 Å
α = 90.00°, β = 90.00°, γ = 90.00°
Fractional coordinates of all 5 atoms:
Na 0.000 0.500 0.000
Na 0.500 0.000 0.000
Ag 0.000 0.000 0.500
Ru 0.500 0.500 0.500
O 0.000 0.000 0.000

=====

(2)
This record from Alexandria via LeMat-Bulk describes a relaxed structure of AcPt8Pb3. The functional is PBE.

Values from the calculation:
Magnetic moment   0.00 μB/cell
Symmetry   No. 160
Formation energy from the elements   -0.442 eV/atom
DFT total energy   -68.864 eV per cell

a = 9.620 Å, b = 9.620 Å, c = 9.620 Å
α = 33.48°, β = 33.48°, γ = 33.48°
Fractional coordinates of all 12 atoms:
Ac 0.000 0.000 0.000
Pt 0.058 0.562 0.562
Pt 0.061 0.061 0.562
Pt 0.061 0.562 0.061
Pt 0.311 0.311 0.311
Pt 0.562 0.058 0.562
Pt 0.562 0.061 0.061
Pt 0.562 0.562 0.058
Pt 0.811 0.811 0.811
Pb 0.130 0.130 0.130
Pb 0.489 0.489 0.489
Pb 0.612 0.612 0.612

=====

(3)
This record from Alexandria via LeMat-Bulk describes a relaxed structure of ThPaMo. The functional is PBE.

Values from the calculation:
Magnetic moment   0.00 μB/cell
Symmetry   No. 107
Formation energy from the elements   0.054 eV/atom
DFT total energy   -27.584 eV per cell

a = 6.074 Å, b = 6.074 Å, c = 6.074 Å
α = 145.92°, β = 145.92°, γ = 48.97°
Fractional coordinates of all 3 atoms:
Th 0.000 0.000 0.000
Pa 0.317 0.317 0.000
Mo 0.679 0.679 0.000

=====

(4)
This record from Alexandria via LeMat-Bulk describes a relaxed structure of MgZn3Au. The functional is PBE.

Values from the calculation:
Magnetic moment   0.00 μB/cell
Symmetry   No. 221
Formation energy from the elements   0.194 eV/atom
DFT total energy   -7.725 eV per cell

a = 4.925 Å, b = 4.925 Å, c = 4.925 Å
α = 90.00°, β = 90.00°, γ = 90.00°
Fractional coordinates of all 5 atoms:
Mg 0.000 0.000 0.000
Zn 0.000 0.500 0.500
Zn 0.500 0.000 0.500
Zn 0.500 0.500 0.000
Au 0.500 0.500 0.500

=====

(5)
This record from Alexandria via LeMat-Bulk describes a relaxed structure of LiCeAs2Pt5. The functional is PBE.

Values from the calculation:
Magnetic moment   0.33 μB/cell
Symmetry   No. 123
Formation energy from the elements   -0.663 eV/atom
DFT total energy   -53.317 eV per cell

a = 4.168 Å, b = 4.168 Å, c = 9.733 Å
α = 90.00°, β = 90.00°, γ = 90.00°
Fractional coordinates of all 9 atoms:
Li 0.000 0.000 0.000
Ce 0.000 0.000 0.500
As 0.500 0.500 0.137
As 0.500 0.500 0.863
Pt 0.000 0.500 0.283
Pt 0.000 0.500 0.717
Pt 0.500 0.000 0.283
Pt 0.500 0.000 0.717
Pt 0.500 0.500 0.500

=====

(6)
This record from Alexandria via LeMat-Bulk describes a relaxed structure of LiCaCrI2. The functional is PBE.

Values from the calculation:
Magnetic moment   5.18 μB/cell
Symmetry   No. 123
DFT total energy   -15.869 eV per cell
E_form (uncorrected)   0.15 eV/atom

a = 5.339 Å, b = 5.339 Å, c = 5.943 Å
α = 90.00°, β = 90.00°, γ = 90.00°
Fractional coordinates of all 5 atoms:
Li 0.000 0.000 0.000
Ca 0.000 0.000 0.500
Cr 0.500 0.500 0.500
I 0.000 0.500 0.000
I 0.500 0.000 0.000

=====

(7)
This record from Alexandria via LeMat-Bulk describes a relaxed structure of SrPmMg2In2. The functional is PBE.

Values from the calculation:
Magnetic moment   0.00 μB/cell
Symmetry   No. 164
Formation energy from the elements   -0.366 eV/atom
DFT total energy   -17.297 eV per cell

a = 5.067 Å, b = 5.067 Å, c = 7.856 Å
α = 90.00°, β = 90.00°, γ = 120.00°
Fractional coordinates of all 6 atoms:
Sr 0.000 0.000 0.000
Pm 0.000 0.000 0.500
Mg 0.333 0.667 0.710
Mg 0.667 0.333 0.290
In 0.333 0.667 0.285
In 0.667 0.333 0.715

=====

(8)
This record from Alexandria via LeMat-Bulk describes a relaxed structure of VGe2Rh4. The functional is PBE.

Values from the calculation:
Magnetic moment   0.85 μB/cell
Symmetry   No. 166
Formation energy from the elements   -0.440 eV/atom
DFT total energy   -50.837 eV per cell

a = 7.290 Å, b = 7.290 Å, c = 7.290 Å
α = 33.50°, β = 33.50°, γ = 33.50°
Fractional coordinates of all 7 atoms:
V 0.000 0.000 0.000
Ge 0.245 0.245 0.245
Ge 0.755 0.755 0.755
Rh 0.124 0.124 0.124
Rh 0.373 0.373 0.373
Rh 0.627 0.627 0.627
Rh 0.876 0.876 0.876

=====

(9)
This record from Alexandria via LeMat-Bulk describes a relaxed structure of TbTh3Pt3. The functional is PBE.

Values from the calculation:
Magnetic moment   0.00 μB/cell
Symmetry   No. 62
Formation energy from the elements   -1.030 eV/atom
DFT total energy   -208.900 eV per cell

a = 12.580 Å, b = 4.090 Å, c = 14.419 Å
α = 90.00°, β = 90.00°, γ = 90.00°
Fractional coordinates of all 28 atoms:
Tb 0.012 0.250 0.188
Tb 0.488 0.750 0.688
Tb 0.512 0.250 0.312
Tb 0.988 0.750 0.812
Th 0.045 0.250 0.607
Th 0.184 0.750 0.032
Th 0.245 0.750 0.305
Th 0.255 0.250 0.805
Th 0.316 0.250 0.532
Th 0.455 0.750 0.107
Th 0.545 0.250 0.893
Th 0.684 0.750 0.468
Th 0.745 0.750 0.195
Th 0.755 0.250 0.695
Th 0.816 0.250 0.968
Th 0.955 0.750 0.393
Pt 0.062 0.250 0.936
Pt 0.120 0.250 0.407
Pt 0.207 0.750 0.667
Pt 0.293 0.250 0.167
Pt 0.380 0.750 0.907
Pt 0.438 0.750 0.436
Pt 0.562 0.250 0.564
Pt 0.620 0.250 0.093
Pt 0.707 0.750 0.833
Pt 0.793 0.250 0.333
Pt 0.880 0.750 0.593
Pt 0.938 0.750 0.064

=====

(10)
This record from Alexandria via LeMat-Bulk describes a relaxed structure of PuMgCoNi. The functional is PBE.

Values from the calculation:
Magnetic moment   3.76 μB/cell
Symmetry   No. 216
Formation energy from the elements   0.020 eV/atom
DFT total energy   -28.734 eV per cell

a = 4.544 Å, b = 4.544 Å, c = 4.544 Å
α = 60.00°, β = 60.00°, γ = 60.00°
Fractional coordinates of all 4 atoms:
Pu 0.000 0.000 0.000
Mg 0.500 0.500 0.500
Co 0.750 0.750 0.750
Ni 0.250 0.250 0.250

=====

(11)
This record from Alexandria via LeMat-Bulk describes a relaxed structure of AcTl3Sn. The functional is PBE.

Values from the calculation:
Magnetic moment   0.00 μB/cell
Symmetry   No. 59
Formation energy from the elements   -0.068 eV/atom
DFT total energy   -31.099 eV per cell

a = 5.236 Å, b = 10.116 Å, c = 7.068 Å
α = 90.00°, β = 90.00°, γ = 90.00°
Fractional coordinates of all 10 atoms:
Ac 0.250 0.250 0.167
Ac 0.750 0.750 0.833
Tl 0.250 0.521 0.865
Tl 0.250 0.750 0.524
Tl 0.250 0.979 0.865
Tl 0.750 0.021 0.135
Tl 0.750 0.250 0.476
Tl 0.750 0.479 0.135
Sn 0.250 0.250 0.677
Sn 0.750 0.750 0.323

=====

(12)
This record from Alexandria via LeMat-Bulk describes a relaxed structure of CsPdBr3. The functional is PBE.

Values from the calculation:
Magnetic moment   0.00 μB/cell
Symmetry   No. 15
DFT total energy   -31.370 eV per cell
E_form (uncorrected)   -0.92 eV/atom

a = 7.377 Å, b = 7.377 Å, c = 7.855 Å
α = 91.69°, β = 91.69°, γ = 116.84°
Fractional coordinates of all 10 atoms:
Cs 0.153 0.847 0.750
Cs 0.847 0.153 0.250
Pd 0.500 0.500 0.000
Pd 0.500 0.500 0.500
Br 0.150 0.346 0.867
Br 0.346 0.150 0.367
Br 0.380 0.620 0.250
Br 0.620 0.380 0.750
Br 0.654 0.850 0.633
Br 0.850 0.654 0.133

=====

(13)
This record from Alexandria via LeMat-Bulk describes a relaxed structure of LaPm2Sn. The functional is PBE.

Values from the calculation:
Magnetic moment   0.00 μB/cell
Symmetry   No. 166
Formation energy from the elements   -0.061 eV/atom
DFT total energy   -18.674 eV per cell

a = 12.296 Å, b = 12.296 Å, c = 12.296 Å
α = 16.49°, β = 16.49°, γ = 16.49°
Fractional coordinates of all 4 atoms:
La 0.000 0.000 0.000
Pm 0.095 0.095 0.095
Pm 0.905 0.905 0.905
Sn 0.500 0.500 0.500

=====

(14)
This record from Alexandria via LeMat-Bulk describes a relaxed structure of NaH4C2IN2O2. The functional is PBE.

Values from the calculation:
Magnetic moment   0.00 μB/cell
Symmetry   No. 14
DFT total energy   -133.241 eV per cell

a = 10.465 Å, b = 4.927 Å, c = 7.210 Å
α = 90.00°, β = 91.47°, γ = 90.00°
Fractional coordinates of all 24 atoms:
Na 0.000 0.000 0.000
Na 0.000 0.500 0.500
H 0.157 0.121 0.688
H 0.157 0.123 0.323
H 0.157 0.377 0.823
H 0.157 0.379 0.188
H 0.843 0.621 0.812
H 0.843 0.623 0.177
H 0.843 0.877 0.677
H 0.843 0.879 0.312
C 0.313 0.736 0.507
C 0.313 0.764 0.007
C 0.687 0.236 0.993
C 0.687 0.264 0.493
I 0.500 0.000 0.000
I 0.500 0.500 0.500
N 0.217 0.642 0.010
N 0.217 0.858 0.510
N 0.783 0.142 0.490
N 0.783 0.358 0.990
O 0.102 0.250 0.254
O 0.102 0.250 0.754
O 0.898 0.750 0.246
O 0.898 0.750 0.746

=====

(15)
This record from Alexandria via LeMat-Bulk describes a relaxed structure of Dy2Ho2Se3S2. The functional is PBE.

Values from the calculation:
Magnetic moment   0.00 μB/cell
Symmetry   No. 139
DFT total energy   -51.146 eV per cell
E_form (uncorrected)   -1.56 eV/atom

a = 8.024 Å, b = 8.024 Å, c = 8.024 Å
α = 139.61°, β = 139.61°, γ = 58.45°
Fractional coordinates of all 9 atoms:
Dy 0.212 0.212 0.000
Dy 0.788 0.788 0.000
Ho 0.000 0.500 0.500
Ho 0.500 0.000 0.500
Se 0.000 0.000 0.000
Se 0.250 0.750 0.500
Se 0.750 0.250 0.500
S 0.401 0.401 0.000
S 0.599 0.599 0.000

=====

(16)
This record from Alexandria via LeMat-Bulk describes a relaxed structure of PrHo3Bi3. The functional is PBE.

Values from the calculation:
Magnetic moment   0.00 μB/cell
Symmetry   No. 148
Formation energy from the elements   -0.641 eV/atom
DFT total energy   -69.290 eV per cell

a = 8.240 Å, b = 8.240 Å, c = 8.240 Å
α = 68.25°, β = 68.25°, γ = 68.25°
Fractional coordinates of all 14 atoms:
Pr 0.166 0.166 0.166
Pr 0.834 0.834 0.834
Ho 0.158 0.418 0.680
Ho 0.320 0.842 0.582
Ho 0.418 0.680 0.158
Ho 0.582 0.320 0.842
Ho 0.680 0.158 0.418
Ho 0.842 0.582 0.320
Bi 0.030 0.796 0.416
Bi 0.204 0.584 0.970
Bi 0.416 0.030 0.796
Bi 0.584 0.970 0.204
Bi 0.796 0.416 0.030
Bi 0.970 0.204 0.584

=====

(17)
This record from Alexandria via LeMat-Bulk describes a relaxed structure of Tl3Sn6Hg. The functional is PBE.

Values from the calculation:
Magnetic moment   0.00 μB/cell
Symmetry   No. 167
Formation energy from the elements   0.051 eV/atom
DFT total energy   -61.824 eV per cell

a = 8.593 Å, b = 8.593 Å, c = 8.593 Å
α = 97.31°, β = 97.31°, γ = 97.31°
Fractional coordinates of all 20 atoms:
Tl 0.249 0.750 0.251
Tl 0.250 0.749 0.751
Tl 0.251 0.249 0.750
Tl 0.749 0.751 0.250
Tl 0.750 0.251 0.249
Tl 0.751 0.250 0.749
Sn 0.070 0.070 0.363
Sn 0.070 0.363 0.070
Sn 0.137 0.430 0.430
Sn 0.363 0.070 0.070
Sn 0.430 0.137 0.430
Sn 0.430 0.430 0.137
Sn 0.570 0.570 0.863
Sn 0.570 0.863 0.570
Sn 0.637 0.930 0.930
Sn 0.863 0.570 0.570
Sn 0.930 0.637 0.930
Sn 0.930 0.930 0.637
Hg 0.000 0.000 0.000
Hg 0.500 0.500 0.500

=====

(18)
This record from Alexandria via LeMat-Bulk describes a relaxed structure of PaGa4Te. The functional is PBE.

Values from the calculation:
Magnetic moment   0.46 μB/cell
Symmetry   No. 216
DFT total energy   -25.546 eV per cell
E_form (uncorrected)   -0.13 eV/atom

a = 5.569 Å, b = 5.569 Å, c = 5.569 Å
α = 60.00°, β = 60.00°, γ = 60.00°
Fractional coordinates of all 6 atoms:
Pa 0.000 0.000 0.000
Ga 0.374 0.374 0.374
Ga 0.374 0.374 0.877
Ga 0.374 0.877 0.374
Ga 0.877 0.374 0.374
Te 0.750 0.750 0.750

=====

(19)
This record from Alexandria via LeMat-Bulk describes a relaxed structure of LaZrBi2. The functional is PBE.

Values from the calculation:
Magnetic moment   0.86 μB/cell
Symmetry   No. 8
Formation energy from the elements   -0.327 eV/atom
DFT total energy   -22.544 eV per cell

a = 8.046 Å, b = 8.046 Å, c = 4.249 Å
α = 105.26°, β = 105.26°, γ = 30.62°
Fractional coordinates of all 4 atoms:
La 0.000 0.000 0.000
Zr 0.750 0.750 0.249
Bi 0.381 0.381 0.382
Bi 0.619 0.619 0.618

=====

(20)
This record from Alexandria via LeMat-Bulk describes a relaxed structure of Pr2Nd6Sm3. The functional is PBE.

Values from the calculation:
Magnetic moment   0.00 μB/cell
Symmetry   No. 139
Formation energy from the elements   0.260 eV/atom
DFT total energy   -49.464 eV per cell

a = 17.591 Å, b = 17.591 Å, c = 17.591 Å
α = 164.21°, β = 164.21°, γ = 22.40°
Fractional coordinates of all 11 atoms:
Pr 0.045 0.045 0.000
Pr 0.955 0.955 0.000
Nd 0.122 0.622 0.500
Nd 0.204 0.204 0.000
Nd 0.378 0.878 0.500
Nd 0.622 0.122 0.500
Nd 0.796 0.796 0.000
Nd 0.878 0.378 0.500
Sm 0.304 0.304 0.000
Sm 0.500 0.500 0.000
Sm 0.696 0.696 0.000